Computed, not measured: a relaxed HoLuTlCu crystal at the PBE level of DFT.

a b c (Å): 5.1098 5.1098 5.1098
angles (deg): 60.00 60.00 60.00
Closest atoms and distances in Å follow each position.
Fractional coordinates of all 4 atoms:
Ho  0.0000  0.0000  0.0000  4 Tl 3.13, 4 Cu 3.13
Lu  0.5000  0.5000  0.5000  4 Tl 3.13, 4 Cu 3.13
Tl  0.2500  0.2500  0.2500  4 Ho 3.13, 4 Lu 3.13
Cu  0.7500  0.7500  0.7500  4 Ho 3.13, 4 Lu 3.13

Results
Crystal system: cubic
DOS at the Fermi energy (states/eV/cell): 2.38
Theoretical density (g cm⁻³): 10.70
VASP energy (eV/cell): -16.55
Spin magnetization (μB/cell): 0.00